DFT (GGA-PBEsol) results for a relaxed NaErS2 crystal.

Properties
Total energy = -22.6 eV per formula unit
Fermi-level density of states = 0.000 states/eV/atom

abc: 3.895 3.895 6.958
angles: 73.75 73.75 60.00
Positions (direct):
Na1 0.500 0.500 0.500
Er1 0.000 0.000 0.000
S1 0.258 0.258 0.226
S2 0.742 0.742 0.774

DFT (GGA-PBEsol) results for a relaxed NaErTl2 crystal.

Properties
Total energy = -12.6 eV per formula unit
Formation energy = -25.4 kJ/mol of atoms
Fermi-level density of states = 0.251 states/eV/atom

abc: 5.210 5.210 5.210
angles: 60.00 60.00 60.00
Positions (direct):
Tl1 0.750 0.750 0.750
Tl2 0.250 0.250 0.250
Na1 0.000 0.000 0.000
Er1 0.500 0.500 0.500